No. 1
{"formula": "La3H3N", "functional": "PBE", "state": "optimized geometry", "lattice": [[5.0915, 0.0000, 0.0000], [0.0000, 5.0915, 0.0000], [0.0000, 0.0000, 5.0915]], "species": ["La", "La", "La", "H", "H", "H", "N"], "frac_coords": [[0.0000, 0.0000, 0.5000], [0.0000, 0.5000, 0.0000], [0.5000, 0.0000, 0.0000], [0.0000, 0.5000, 0.5000], [0.5000, 0.0000, 0.5000], [0.5000, 0.5000, 0.0000], [0.0000, 0.0000, 0.0000]], "crystal_system": "cubic", "spacegroup": "Pm-3m (221)", "total_energy_ev_per_cell": -37.28, "mass_density_g_cm3": 5.46}

=====

No. 2
{"formula": "La4H4N", "functional": "PBE", "state": "optimized geometry", "lattice": [[-2.8825, 2.8825, 5.7462], [2.8825, -2.8825, 5.7462], [2.8825, 2.8825, -5.7462]], "species": ["La", "La", "La", "La", "H", "H", "H", "H", "N"], "frac_coords": [[0.1117, 0.6504, 0.0000], [0.3496, 0.3496, 0.4613], [0.6504, 0.1117, 0.0000], [0.8883, 0.8883, 0.5387], [0.0000, 0.5000, 0.5000], [0.2542, 0.2542, 0.0000], [0.5000, 0.0000, 0.5000], [0.7458, 0.7458, 0.0000], [0.0000, 0.0000, 0.0000]], "crystal_system": "tetragonal", "spacegroup": "I-42m (121)", "total_energy_ev_per_cell": -46.90, "mass_density_g_cm3": 4.99}

=====

No. 3
{"formula": "La8H2N3", "functional": "PBE", "state": "optimized geometry", "lattice": [[6.7022, -3.6997, 0.0000], [6.7022, 3.6997, 0.0000], [-1.9315, 0.0000, 6.0741]], "species": ["La", "La", "La", "La", "La", "La", "La", "La", "H", "H", "N", "N", "N"], "frac_coords": [[0.1114, 0.1114, 0.4134], [0.1476, 0.6271, 0.1066], [0.3729, 0.8524, 0.8934], [0.3867, 0.3867, 0.5921], [0.6133, 0.6133, 0.4079], [0.6271, 0.1476, 0.1066], [0.8524, 0.3729, 0.8934], [0.8886, 0.8886, 0.5866], [0.2509, 0.2509, 0.1700], [0.7491, 0.7491, 0.8300], [0.2523, 0.7477, 0.5000], [0.5000, 0.5000, 0.0000], [0.7477, 0.2523, 0.5000]], "crystal_system": "monoclinic", "spacegroup": "C2/m (12)", "total_energy_ev_per_cell": -79.93, "mass_density_g_cm3": 6.37}

=====

No. 4
{"formula": "La8HN4", "functional": "PBE", "state": "optimized geometry", "lattice": [[0.0000, 5.3729, 5.3729], [5.3729, 0.0000, 5.3729], [5.3729, 5.3729, 0.0000]], "species": ["La", "La", "La", "La", "La", "La", "La", "La", "H", "N", "N", "N", "N"], "frac_coords": [[0.3869, 0.3869, 0.3869], [0.3869, 0.3869, 0.8394], [0.3869, 0.8394, 0.3869], [0.3981, 0.8673, 0.8673], [0.8394, 0.3869, 0.3869], [0.8673, 0.3981, 0.8673], [0.8673, 0.8673, 0.3981], [0.8673, 0.8673, 0.8673], [0.0000, 0.0000, 0.0000], [0.1138, 0.6287, 0.6287], [0.6287, 0.1138, 0.6287], [0.6287, 0.6287, 0.1138], [0.6287, 0.6287, 0.6287]], "crystal_system": "cubic", "spacegroup": "F-43m (216)", "total_energy_ev_per_cell": -87.25, "mass_density_g_cm3": 6.25}

=====

No. 5
{"formula": "La3HN", "functional": "PBE", "state": "optimized geometry", "lattice": [[5.0166, 0.0000, 0.0000], [0.0000, 5.0166, 0.0000], [0.0000, 0.0000, 5.0166]], "species": ["La", "La", "La", "H", "N"], "frac_coords": [[0.0000, 0.0000, 0.5000], [0.0000, 0.5000, 0.0000], [0.5000, 0.0000, 0.0000], [0.5000, 0.5000, 0.5000], [0.0000, 0.0000, 0.0000]], "crystal_system": "cubic", "spacegroup": "Pm-3m (221)", "mass_density_g_cm3": 5.68, "polymorph_energy_mev_per_atom": 534}

=====

No. 6
{"formula": "La4HN3", "functional": "PBE", "state": "optimized geometry", "lattice": [[3.7738, -5.2319, 0.0000], [3.7738, 5.2319, 0.0000], [0.0000, 0.0000, 3.7233]], "species": ["La", "La", "La", "La", "H", "N", "N", "N"], "frac_coords": [[0.2344, 0.2344, 0.5000], [0.2464, 0.7536, 0.0000], [0.7536, 0.2464, 0.0000], [0.7656, 0.7656, 0.5000], [0.5000, 0.5000, 0.0000], [0.0000, 0.0000, 0.0000], [0.0000, 0.5000, 0.5000], [0.5000, 0.0000, 0.5000]], "crystal_system": "orthorhombic", "spacegroup": "Cmmm (65)", "mass_density_g_cm3": 6.76, "polymorph_energy_mev_per_atom": 0}